# 1
! Sc2MoPb | Alexandria | PBE | optimized geometry; values from VASP
&SYSTEM
  ibrav = 0, nat = 4, ntyp = 3
/
ATOMIC_SPECIES
Sc 44.96 Sc.upf
Mo 95.94 Mo.upf
Pb 207.20 Pb.upf
CELL_PARAMETERS angstrom
4.620 0.000 0.000
0.000 4.620 0.000
0.000 0.000 3.848
ATOMIC_POSITIONS crystal
Sc 0.000 0.500 0.000
Sc 0.500 0.000 0.000
Mo 0.000 0.000 0.500
Pb 0.500 0.500 0.500
! Fermi-level density of states ... 5.0 states/eV/f.u.
! VASP energy ... -6.8416 eV per atom
! Formation enthalpy at 0 K ... -0.164 eV/f.u.
! M_tot ... 0.00 μB per cell

---

# 2
! LiTlZn | Alexandria | PBE | optimized geometry; values from VASP
&SYSTEM
  ibrav = 0, nat = 6, ntyp = 3
/
ATOMIC_SPECIES
Li 6.94 Li.upf
Tl 204.38 Tl.upf
Zn 65.41 Zn.upf
CELL_PARAMETERS angstrom
3.293 0.000 0.000
0.000 4.446 0.000
-1.636 0.000 8.456
ATOMIC_POSITIONS crystal
Li 0.099 0.250 0.201
Li 0.901 0.750 0.799
Tl 0.303 0.250 0.603
Tl 0.697 0.750 0.397
Zn 0.467 0.250 0.933
Zn 0.533 0.750 0.067
! Fermi-level density of states ... 0.9 states/eV/f.u.
! VASP energy ... -1.9481 eV per atom
! Formation enthalpy at 0 K ... -0.290 eV/f.u.
! Offset from the most stable computed form ... 0.000 eV per atom
! M_tot ... 0.00 μB per cell